1.
Entry from the Alexandria database: a relaxed structure of SnPd2 (PBE-GGA).

Cell: 4.3845 5.7377 8.2185 Å, 90.00 90.00 90.00°
Fractional positions:
Sn 0.7500 0.7963 0.8912
Sn 0.7500 0.2963 0.6088
Sn 0.2500 0.2037 0.1088
Sn 0.2500 0.7037 0.3912
Pd 0.7500 0.4554 0.2875
Pd 0.7500 0.9554 0.2125
Pd 0.2500 0.5446 0.7125
Pd 0.2500 0.0446 0.7875
Pd 0.7500 0.3255 0.9374
Pd 0.7500 0.8255 0.5626
Pd 0.2500 0.6745 0.0626
Pd 0.2500 0.1745 0.4374

- calculated formation energy (eV/f.u.) = -1.602
- space group = Pnma (62)


2.
Entry from the Alexandria database: a relaxed structure of Sn2Pd13 (PBE-GGA).

Cell: 4.8757 8.4868 6.3236 Å, 106.99 82.24 107.12°
Fractional positions:
Sn 0.9324 0.7346 0.5992
Sn 0.0676 0.2654 0.4008
Pd 0.6677 0.6678 0.0000
Pd 0.3323 0.3322 0.0000
Pd 0.0000 0.0000 0.0000
Pd 0.2684 0.0664 0.6008
Pd 0.7316 0.9336 0.3992
Pd 0.1353 0.5349 0.8028
Pd 0.8647 0.4651 0.1972
Pd 0.3970 0.5985 0.3962
Pd 0.6030 0.4015 0.6038
Pd 0.4675 0.8669 0.8008
Pd 0.5325 0.1331 0.1992
Pd 0.8009 0.1998 0.7994
Pd 0.1991 0.8002 0.2006

- calculated formation energy (eV/f.u.) = -4.281
- space group = P-1 (2)


3.
Entry from the Alexandria database: a relaxed structure of SnPd2 (PBE-GGA).

Cell: 3.4550 3.4550 4.9886 Å, 110.26 110.26 90.00°
Fractional positions:
Sn 0.0000 0.0000 0.0000
Pd 0.6627 0.6627 0.3253
Pd 0.3373 0.3373 0.6747

- calculated formation energy (eV/f.u.) = -1.322
- space group = I4/mmm (139)


4.
Entry from the Alexandria database: a relaxed structure of Sn2Pd5 (PBE-GGA).

Cell: 5.7708 6.6065 7.6959 Å, 115.42 112.02 90.00°
Fractional positions:
Sn 0.3817 0.6623 0.7633
Sn 0.6183 0.3377 0.2367
Sn 0.8817 0.1010 0.7634
Sn 0.1183 0.8990 0.2366
Pd 0.1013 0.2901 0.2025
Pd 0.8987 0.7099 0.7975
Pd 0.6012 0.9124 0.2025
Pd 0.3988 0.0876 0.7975
Pd 0.4800 0.7300 0.4601
Pd 0.0200 0.2700 0.5399
Pd 0.5200 0.2700 0.5399
Pd 0.9800 0.7300 0.4601
Pd 0.7500 0.5000 0.0000
Pd 0.2500 0.5000 0.0000

- relative energy among the computed polymorphs (eV per atom) = 0.0000
- calculated formation energy (eV/f.u.) = -3.501
- space group = Ibam (72)


5.
Entry from the Alexandria database: a relaxed structure of Sn6Pd (PBE-GGA).

Cell: 5.5165 5.5165 12.4085 Å, 90.00 90.00 106.19°
Fractional positions:
Sn 0.3219 0.6781 0.0000
Sn 0.6781 0.3219 0.5000
Sn 0.6781 0.3219 0.0000
Sn 0.3219 0.6781 0.5000
Sn 0.1218 0.1218 0.8854
Sn 0.8782 0.8782 0.3854
Sn 0.1218 0.1218 0.6146
Sn 0.8782 0.8782 0.1146
Sn 0.5977 0.9896 0.7500
Sn 0.4023 0.0104 0.2500
Sn 0.9896 0.5977 0.7500
Sn 0.0104 0.4023 0.2500
Pd 0.4611 0.4611 0.7500
Pd 0.5389 0.5389 0.2500

- calculated formation energy (eV/f.u.) = -0.335
- space group = Cmcm (63)


6.
Entry from the Alexandria database: a relaxed structure of Sn2Pd5 (PBE-GGA).

Cell: 6.6032 5.7567 7.1654 Å, 90.00 117.43 90.00°
Fractional positions:
Sn 0.1047 0.5000 0.7798
Sn 0.3250 0.0000 0.2202
Sn 0.8953 0.5000 0.2202
Sn 0.6750 0.0000 0.7798
Pd 0.3033 0.5000 0.2196
Pd 0.0836 0.0000 0.7804
Pd 0.2716 0.7500 0.5433
Pd 0.7284 0.7500 0.4567
Pd 0.7284 0.2500 0.4567
Pd 0.2716 0.2500 0.5433
Pd 0.9164 0.0000 0.2196
Pd 0.6967 0.5000 0.7804
Pd 0.5000 0.2500 0.0000
Pd 0.5000 0.7500 0.0000

- relative energy among the computed polymorphs (eV per atom) = 0.0220
- calculated formation energy (eV/f.u.) = -3.347
- space group = Cccm (66)


> Which of these has the lowest calculated formation energy?

Sn2Pd13


> Which of these has the lowest calculated formation energy?

Sn2Pd13


> calculated formation energy of number 4 (Sn2Pd5)?

-3.501 eV/f.u.


> Look up the calculated formation energy of the sixth one.

-3.347 eV/f.u.